Record 1
{"formula": "Rb2CaRe3O12", "functional": "PBE", "state": "optimized geometry", "lattice": [[7.6368, 0.1534, 0.1088], [3.9049, 6.5648, 0.1088], [3.9049, 2.2730, 6.1597]], "species": ["Rb", "Rb", "Ca", "Re", "Re", "Re", "O", "O", "O", "O", "O", "O", "O", "O", "O", "O", "O", "O"], "frac_coords": [[0.6316, 0.6316, 0.6316], [0.3684, 0.3684, 0.3684], [0.0000, 0.0000, 0.0000], [0.5000, 0.0000, 0.0000], [0.0000, 0.5000, 0.0000], [0.0000, 0.0000, 0.5000], [0.2992, 0.2992, 0.9325], [0.9229, 0.9229, 0.3663], [0.3663, 0.9229, 0.9229], [0.9325, 0.2992, 0.2992], [0.9229, 0.3663, 0.9229], [0.2992, 0.9325, 0.2992], [0.7008, 0.7008, 0.0675], [0.0771, 0.0771, 0.6337], [0.6337, 0.0771, 0.0771], [0.0675, 0.7008, 0.7008], [0.0771, 0.6337, 0.0771], [0.7008, 0.0675, 0.7008]], "e_form_raw_mev_per_atom": -1811, "sg": "R-3m"}

Record 2
{"formula": "UCdSnAu", "functional": "PBE", "state": "optimized geometry", "lattice": [[-0.5165, -5.0372, -0.5023], [3.8795, -2.7942, -1.7419], [2.4867, -3.1382, 3.1401]], "species": ["Au", "U", "Sn", "Cd"], "frac_coords": [[0.5000, 0.5000, 0.5000], [0.7500, 0.7500, 0.7500], [0.0000, 0.0000, 0.0000], [0.2500, 0.2500, 0.2500]], "e_form_ev_per_atom": -0.048, "sg": "F-43m"}

Record 3
{"formula": "HfTe2RhN", "functional": "PBE", "state": "optimized geometry", "lattice": [[5.6224, 0.0000, 0.0000], [0.0000, 5.6224, 0.0000], [0.0000, 0.0000, 3.8739]], "species": ["Rh", "Te", "Te", "Hf", "N"], "frac_coords": [[0.5000, 0.5000, 0.5000], [0.0000, 0.5000, 0.0000], [0.5000, 0.0000, 0.0000], [0.0000, 0.0000, 0.0000], [0.0000, 0.0000, 0.5000]], "e_form_raw_mev_per_atom": 434, "relative_energy_kj_per_mol_atoms": 12.27, "sg": "P4/mmm"}

Record 4
{"formula": "NiBiMoRh2", "functional": "PBE", "state": "optimized geometry", "lattice": [[-1.5228, -4.2663, 1.3838], [4.2511, -1.6530, -0.4182], [0.8889, 1.1453, 4.5092]], "species": ["Ni", "Mo", "Rh", "Rh", "Bi"], "frac_coords": [[0.0000, 0.5000, 0.0000], [0.0000, 0.0000, 0.0000], [0.0000, 0.0000, 0.5000], [0.5000, 0.0000, 0.0000], [0.5000, 0.5000, 0.5000]], "e_form_ev_per_atom": 0.886, "sg": "P4/mmm"}